(1)
The following is a PBE-GGA calculation of a geometry-optimized MgAlAgRu structure, from the Alexandria database.

* total energy: -4.5855 eV/atom
* ΔH_f (0 K): -0.219 eV/atom

Structure (POSCAR):
```
MgAlAgRu
1.0
-1.962 -2.778 2.840
0.727 -4.360 -0.306
2.404 -2.067 3.094
Ru Ag Mg Al
1 1 1 1
Direct
0.750 0.750 0.750
0.250 0.250 0.250
0.000 0.000 0.000
0.500 0.500 0.500
```

***

(2)
The following is a PBE-GGA calculation of a geometry-optimized Mg2AlAgS4 structure, from the Alexandria database.

* total energy: -4.3833 eV/atom

Structure (POSCAR):
```
Mg2AlAgS4
1.0
5.748 0.239 0.000
-0.239 5.748 0.000
-2.754 -2.993 5.409
Ag Mg S Al
1 2 4 1
Direct
0.000 0.000 0.001
0.250 0.750 0.500
0.750 0.250 0.500
0.151 0.151 0.755
0.396 0.849 0.246
0.604 0.604 0.754
0.849 0.396 0.246
0.500 0.500 0.000
```

***

(3)
The following is a PBE-GGA calculation of a geometry-optimized MgAlAgSb structure, from the Alexandria database.

* total energy: -2.9816 eV/atom

Structure (POSCAR):
```
MgAlAgSb
1.0
-0.399 4.426 2.193
-2.851 3.517 -2.016
-4.248 1.305 2.193
Sb Ag Al Mg
1 1 1 1
Direct
0.750 0.750 0.750
0.250 0.250 0.250
0.000 0.000 0.000
0.500 0.500 0.500
```

***

(4)
The following is a PBE-GGA calculation of a geometry-optimized Mg2Sc5AlAg2 structure, from the Alexandria database.

* total energy: -4.5603 eV/atom
* ΔH_f (0 K): -0.131 eV/atom

Structure (POSCAR):
```
Mg2Sc5AlAg2
1.0
3.404 0.000 0.000
0.000 11.543 0.000
0.000 0.000 11.543
Ag Mg Sc Al
4 4 10 2
Direct
0.000 0.367 0.133
0.000 0.867 0.367
0.000 0.133 0.633
0.000 0.633 0.867
0.000 0.320 0.820
0.000 0.820 0.680
0.000 0.680 0.180
0.000 0.180 0.320
0.500 0.048 0.806
0.500 0.952 0.194
0.500 0.452 0.306
0.500 0.194 0.048
0.500 0.806 0.952
0.500 0.306 0.548
0.500 0.548 0.694
0.500 0.694 0.452
0.500 0.000 0.500
0.500 0.500 0.000
0.000 0.500 0.500
0.000 0.000 0.000
```

***

(5)
The following is a PBE-GGA calculation of a geometry-optimized MgSc4Al2Ag structure, from the Alexandria database.

* total energy: -4.9840 eV/atom
* ΔH_f (0 K): -0.327 eV/atom

Structure (POSCAR):
```
MgSc4Al2Ag
1.0
4.872 0.000 0.000
2.436 4.219 0.000
2.436 1.406 7.975
Sc Al Ag Mg
4 2 1 1
Direct
0.872 0.872 0.383
0.378 0.378 0.866
0.128 0.128 0.617
0.622 0.622 0.134
0.254 0.254 0.239
0.746 0.746 0.761
0.500 0.500 0.500
0.000 0.000 0.000
```

***

(6)
The following is a PBE-GGA calculation of a geometry-optimized MgAl2AgSe4 structure, from the Alexandria database.

* total energy: -3.9121 eV/atom

Structure (POSCAR):
```
MgAl2AgSe4
1.0
5.987 -0.066 0.000
-0.562 5.961 0.000
-2.712 -2.947 5.796
Se Mg Ag Al
4 1 1 2
Direct
0.109 0.109 0.713
0.604 0.604 0.713
0.872 0.386 0.259
0.386 0.872 0.259
0.500 0.500 0.000
0.009 0.009 0.018
0.760 0.260 0.519
0.260 0.760 0.519
```

***

(7)
The following is a PBE-GGA calculation of a geometry-optimized Mg2AlAgSe4 structure, from the Alexandria database.

* total energy: -3.9072 eV/atom

Structure (POSCAR):
```
Mg2AlAgSe4
1.0
-3.195 5.090 -0.646
-5.036 -3.256 -0.750
3.188 -0.782 6.341
Ag Se Mg Al
1 4 2 1
Direct
0.000 0.000 0.000
0.147 0.147 0.756
0.392 0.853 0.245
0.608 0.608 0.756
0.853 0.392 0.245
0.750 0.250 0.500
0.250 0.750 0.500
0.500 0.500 0.000
```

***

(8)
The following is a PBE-GGA calculation of a geometry-optimized SmMgAl2Ag5 structure, from the Alexandria database.

* total energy: -3.1723 eV/atom
* ΔH_f (0 K): -0.055 eV/atom

Structure (POSCAR):
```
SmMgAl2Ag5
1.0
-1.148 -0.585 -4.683
-0.486 -4.780 0.716
-7.676 1.044 1.752
Mg Al Ag Sm
1 2 5 1
Direct
0.000 0.000 0.000
0.500 0.500 0.159
0.500 0.500 0.841
0.500 0.000 0.737
0.000 0.500 0.737
0.500 0.500 0.500
0.500 0.000 0.263
0.000 0.500 0.263
0.000 0.000 0.500
```

***

(9)
The following is a PBE-GGA calculation of a geometry-optimized SmMg2Al2Ag structure, from the Alexandria database.

* total energy: -2.8469 eV/atom
* ΔH_f (0 K): 0.194 eV/atom

Structure (POSCAR):
```
SmMg2Al2Ag
1.0
4.251 0.000 0.000
0.000 4.251 0.000
-2.125 -2.125 8.760
Al Mg Sm Ag
2 2 1 1
Direct
0.860 0.860 0.720
0.140 0.140 0.280
0.750 0.250 0.500
0.250 0.750 0.500
0.500 0.500 0.000
0.000 0.000 0.000
```

***

(10)
The following is a PBE-GGA calculation of a geometry-optimized Sm2MgAl3Ag4 structure, from the Alexandria database.

* total energy: -3.6646 eV/atom
* ΔH_f (0 K): -0.298 eV/atom

Structure (POSCAR):
```
Sm2MgAl3Ag4
1.0
-1.186 3.116 2.855
-2.791 -2.804 1.900
7.978 -3.275 6.888
Al Mg Sm Ag
3 1 2 4
Direct
0.000 0.000 0.500
0.500 0.000 0.870
0.000 0.500 0.130
0.500 0.500 0.500
0.000 0.500 0.761
0.500 0.000 0.239
0.000 0.500 0.359
0.000 0.000 0.000
0.500 0.000 0.641
0.500 0.500 0.000
```

***

(11)
The following is a PBE-GGA calculation of a geometry-optimized SmMgAl2Ag2 structure, from the Alexandria database.

* total energy: -3.5412 eV/atom
* ΔH_f (0 K): -0.291 eV/atom

Structure (POSCAR):
```
SmMgAl2Ag2
1.0
4.505 0.000 0.000
-2.252 3.901 0.000
0.000 0.000 7.097
Sm Mg Al Ag
1 1 2 2
Direct
0.000 0.000 0.000
0.000 0.000 0.500
0.333 0.667 0.724
0.667 0.333 0.276
0.333 0.667 0.302
0.667 0.333 0.698
```

***

(12)
The following is a PBE-GGA calculation of a geometry-optimized SmMg2AlAg4 structure, from the Alexandria database.

* total energy: -3.0767 eV/atom
* ΔH_f (0 K): -0.195 eV/atom

Structure (POSCAR):
```
SmMg2AlAg4
1.0
4.619 0.000 0.000
2.310 4.000 0.000
2.310 1.333 8.818
Sm Ag Mg Al
1 4 2 1
Direct
0.000 0.000 0.000
0.868 0.868 0.396
0.397 0.397 0.808
0.132 0.132 0.604
0.603 0.603 0.192
0.757 0.757 0.730
0.243 0.243 0.270
0.500 0.500 0.500
```

***

| no. | Fermi-level density of states (states/eV per cell) |
| --- | --- |
| 1 | 2.5 |
| 2 | 0.0 |
| 3 | 3.0 |
| 4 | 14.0 |
| 5 | 5.5 |
| 6 | 2.1 |
| 7 | 0.0 |
| 8 | 3.1 |
| 9 | 3.1 |
| 10 | 7.4 |
| 11 | 3.1 |
| 12 | 3.6 |